Compound: MoPtRh3
Source: Alexandria
Functional: PBE-GGA
Structure: optimized geometry

The total energy comes out at -0.478 Ry per atom. The calculation puts the formation energy at 6.397 eV per formula unit. The symmetry is Pm-3m (221). The calculation puts the volume at 19.566 Å³ per atom. The density of states at the Fermi level is 6.920 states/eV per cell. For the relative energy among the computed polymorphs, the calculation gives 1.171 eV per atom. For the total magnetization, the calculation gives 0.0000 μB/atom.

Geometry as POSCAR:
```
MoPtRh3
1.0
4.608 0.000 0.000
0.000 4.608 0.000
0.000 0.000 4.608
Mo Pt Rh
1 1 3
Direct
0.000 0.000 0.000 Mo
0.500 0.500 0.500 Pt
0.000 0.000 0.500 Rh
0.000 0.500 0.000 Rh
0.500 0.000 0.000 Rh
```


Compound: Mo2PtRh
Source: Alexandria
Functional: PBE-GGA
Structure: optimized geometry

The total energy comes out at -0.651 Ry per atom. The calculation puts the formation energy at -0.372 eV per formula unit. The symmetry is R-3m (166). The calculation puts the volume at 15.274 Å³ per atom. The density of states at the Fermi level is 11.084 states/eV per cell. For the relative energy among the computed polymorphs, the calculation gives 0.198 eV per atom. For the total magnetization, the calculation gives 0.0000 μB/atom.

Geometry as POSCAR:
```
Mo2PtRh
1.0
2.771 0.000 0.000
-1.386 2.400 0.000
0.000 0.000 27.561
Mo Pt Rh
6 3 3
Direct
0.000 0.000 0.248 Mo
0.000 0.000 0.752 Mo
0.333 0.667 0.418 Mo
0.333 0.667 0.915 Mo
0.667 0.333 0.085 Mo
0.667 0.333 0.582 Mo
0.000 0.000 0.000 Pt
0.333 0.667 0.667 Pt
0.667 0.333 0.333 Pt
0.000 0.000 0.500 Rh
0.333 0.667 0.167 Rh
0.667 0.333 0.833 Rh
```


Compound: MoPt2Rh
Source: Alexandria
Functional: PBE-GGA
Structure: optimized geometry

The total energy comes out at -0.570 Ry per atom. The calculation puts the formation energy at -0.771 eV per formula unit. The symmetry is R3m (160). The calculation puts the volume at 15.262 Å³ per atom. The density of states at the Fermi level is 12.783 states/eV per cell. For the relative energy among the computed polymorphs, the calculation gives 0.076 eV per atom. For the total magnetization, the calculation gives 0.0000 μB/atom.

Geometry as POSCAR:
```
MoPt2Rh
1.0
2.776 0.000 0.000
-1.388 2.404 0.000
0.000 0.000 27.444
Mo Pt Rh
3 6 3
Direct
0.000 0.000 0.000 Mo
0.333 0.667 0.667 Mo
0.667 0.333 0.333 Mo
0.000 0.000 0.251 Pt
0.000 0.000 0.496 Pt
0.333 0.667 0.163 Pt
0.333 0.667 0.917 Pt
0.667 0.333 0.584 Pt
0.667 0.333 0.830 Pt
0.000 0.000 0.744 Rh
0.333 0.667 0.411 Rh
0.667 0.333 0.077 Rh
```


Compound: Mo2PtRh
Source: Alexandria
Functional: PBE-GGA
Structure: optimized geometry

The total energy comes out at -0.656 Ry per atom. The calculation puts the formation energy at -0.661 eV per formula unit. The symmetry is P4mm (99). The calculation puts the volume at 15.370 Å³ per atom. The density of states at the Fermi level is 3.394 states/eV per cell. For the relative energy among the computed polymorphs, the calculation gives 0.126 eV per atom. For the total magnetization, the calculation gives 0.0000 μB/atom.

Geometry as POSCAR:
```
Mo2PtRh
1.0
2.751 0.000 0.000
0.000 2.751 0.000
0.000 0.000 8.123
Mo Pt Rh
2 1 1
Direct
0.000 0.000 0.000 Mo
0.500 0.500 0.271 Mo
0.000 0.000 0.512 Pt
0.500 0.500 0.773 Rh
```


Compound: MoPt2Rh
Source: Alexandria
Functional: PBE-GGA
Structure: optimized geometry

The total energy comes out at -0.570 Ry per atom. The calculation puts the formation energy at -0.759 eV per formula unit. The symmetry is P4/mmm (123). The calculation puts the volume at 15.244 Å³ per atom. The density of states at the Fermi level is 4.472 states/eV per cell. For the relative energy among the computed polymorphs, the calculation gives 0.078 eV per atom. For the total magnetization, the calculation gives 0.3062 μB/atom.

Geometry as POSCAR:
```
MoPt2Rh
1.0
3.914 0.000 0.000
0.000 3.914 0.000
0.000 0.000 3.980
Mo Pt Rh
1 2 1
Direct
0.000 0.000 0.000 Mo
0.000 0.500 0.500 Pt
0.500 0.000 0.500 Pt
0.500 0.500 0.000 Rh
```


Compound: MoPt2Rh
Source: Alexandria
Functional: PBE-GGA
Structure: optimized geometry

The total energy comes out at -0.555 Ry per atom. The calculation puts the formation energy at 0.050 eV per formula unit. The symmetry is F-43m (216). The calculation puts the volume at 15.492 Å³ per atom. The density of states at the Fermi level is 17.401 states/eV per cell. For the relative energy among the computed polymorphs, the calculation gives 0.281 eV per atom. For the total magnetization, the calculation gives 0.0002 μB/atom.

Geometry as POSCAR:
```
MoPt2Rh
1.0
6.282 0.000 0.000
0.000 6.282 0.000
0.000 0.000 6.282
Mo Pt Rh
4 8 4
Direct
0.000 0.000 0.000 Mo
0.000 0.500 0.500 Mo
0.500 0.000 0.500 Mo
0.500 0.500 0.000 Mo
0.000 0.000 0.500 Pt
0.000 0.500 0.000 Pt
0.250 0.250 0.750 Pt
0.250 0.750 0.250 Pt
0.500 0.000 0.000 Pt
0.500 0.500 0.500 Pt
0.750 0.250 0.250 Pt
0.750 0.750 0.750 Pt
0.250 0.250 0.250 Rh
0.250 0.750 0.750 Rh
0.750 0.250 0.750 Rh
0.750 0.750 0.250 Rh
```


Compound: MoPt4Rh2
Source: Alexandria
Functional: PBE-GGA
Structure: optimized geometry

The total energy comes out at -0.537 Ry per atom. The calculation puts the formation energy at -1.463 eV per formula unit. The symmetry is C2/m (12). The calculation puts the volume at 15.160 Å³ per atom. The density of states at the Fermi level is 12.961 states/eV per cell. For the relative energy among the computed polymorphs, the calculation gives 0.000 eV per atom. For the total magnetization, the calculation gives 0.0000 μB/atom.

Geometry as POSCAR:
```
MoPt4Rh2
1.0
8.782 0.000 0.000
0.000 3.905 0.000
-0.940 0.000 6.188
Mo Pt Rh
2 8 4
Direct
0.000 0.000 0.000 Mo
0.500 0.500 0.000 Mo
0.067 0.500 0.719 Pt
0.147 0.000 0.421 Pt
0.353 0.500 0.579 Pt
0.433 0.000 0.281 Pt
0.567 0.000 0.719 Pt
0.647 0.500 0.421 Pt
0.853 0.000 0.579 Pt
0.933 0.500 0.281 Pt
0.212 0.500 0.130 Rh
0.288 0.000 0.870 Rh
0.712 0.000 0.130 Rh
0.788 0.500 0.870 Rh
```


Compound: Mo2PtRh
Source: Alexandria
Functional: PBE-GGA
Structure: optimized geometry

The total energy comes out at -0.662 Ry per atom. The calculation puts the formation energy at -0.977 eV per formula unit. The symmetry is Cmmm (65). The calculation puts the volume at 15.140 Å³ per atom. The density of states at the Fermi level is 4.714 states/eV per cell. For the relative energy among the computed polymorphs, the calculation gives 0.047 eV per atom. For the total magnetization, the calculation gives 0.0000 μB/atom.

Geometry as POSCAR:
```
Mo2PtRh
1.0
5.472 0.000 0.000
0.000 8.098 0.000
0.000 0.000 2.733
Mo Pt Rh
4 2 2
Direct
0.250 0.250 0.000 Mo
0.250 0.750 0.000 Mo
0.750 0.250 0.000 Mo
0.750 0.750 0.000 Mo
0.000 0.000 0.500 Pt
0.500 0.500 0.500 Pt
0.000 0.500 0.500 Rh
0.500 0.000 0.500 Rh
```


Compound: Mo2Pt7Rh
Source: Alexandria
Functional: PBE-GGA
Structure: optimized geometry

The total energy comes out at -0.499 Ry per atom. The calculation puts the formation energy at 3.424 eV per formula unit. The symmetry is Cmmm (65). The calculation puts the volume at 19.297 Å³ per atom. The density of states at the Fermi level is 13.150 states/eV per cell. For the total magnetization, the calculation gives 0.0000 μB/atom.

Geometry as POSCAR:
```
Mo2Pt7Rh
1.0
3.589 -6.739 0.000
3.589 6.739 0.000
0.000 0.000 3.989
Mo Pt Rh
2 7 1
Direct
0.195 0.805 0.000 Mo
0.805 0.195 0.000 Mo
0.000 0.000 0.000 Pt
0.204 0.415 0.000 Pt
0.302 0.698 0.500 Pt
0.415 0.204 0.000 Pt
0.585 0.796 0.000 Pt
0.698 0.302 0.500 Pt
0.796 0.585 0.000 Pt
0.500 0.500 0.500 Rh
```


Compound: Mo2Pt5Rh5
Source: Alexandria
Functional: PBE-GGA
Structure: optimized geometry

The total energy comes out at -0.560 Ry per atom. The calculation puts the formation energy at -2.884 eV per formula unit. The symmetry is C2/m (12). The calculation puts the volume at 14.946 Å³ per atom. The density of states at the Fermi level is 9.357 states/eV per cell. For the relative energy among the computed polymorphs, the calculation gives 0.000 eV per atom. For the total magnetization, the calculation gives 0.0000 μB/atom.

Geometry as POSCAR:
```
Mo2Pt5Rh5
1.0
5.883 -1.937 0.000
5.883 1.937 0.000
-3.927 0.000 7.869
Mo Pt Rh
2 5 5
Direct
0.085 0.085 0.257 Mo
0.915 0.915 0.743 Mo
0.000 0.000 0.500 Pt
0.161 0.161 0.996 Pt
0.255 0.255 0.752 Pt
0.745 0.745 0.248 Pt
0.839 0.839 0.004 Pt
0.334 0.334 0.504 Rh
0.425 0.425 0.250 Rh
0.500 0.500 0.000 Rh
0.575 0.575 0.750 Rh
0.666 0.666 0.496 Rh
```


Compound: Mo2PtRh
Source: Alexandria
Functional: PBE-GGA
Structure: optimized geometry

The total energy comes out at -0.624 Ry per atom. The calculation puts the formation energy at 1.078 eV per formula unit. The symmetry is Fm-3m (225). The calculation puts the volume at 15.694 Å³ per atom. The density of states at the Fermi level is 30.561 states/eV per cell. For the relative energy among the computed polymorphs, the calculation gives 0.561 eV per atom. For the total magnetization, the calculation gives 0.0000 μB/atom.

Geometry as POSCAR:
```
Mo2PtRh
1.0
6.309 0.000 0.000
0.000 6.309 0.000
0.000 0.000 6.309
Mo Pt Rh
8 4 4
Direct
0.250 0.250 0.250 Mo
0.250 0.250 0.750 Mo
0.250 0.750 0.250 Mo
0.250 0.750 0.750 Mo
0.750 0.250 0.250 Mo
0.750 0.250 0.750 Mo
0.750 0.750 0.250 Mo
0.750 0.750 0.750 Mo
0.000 0.000 0.000 Pt
0.000 0.500 0.500 Pt
0.500 0.000 0.500 Pt
0.500 0.500 0.000 Pt
0.000 0.000 0.500 Rh
0.000 0.500 0.000 Rh
0.500 0.000 0.000 Rh
0.500 0.500 0.500 Rh
```


Compound: MoPtRh
Source: Alexandria
Functional: PBE-GGA
Structure: optimized geometry

The total energy comes out at -0.604 Ry per atom. The calculation puts the formation energy at -0.427 eV per formula unit. The symmetry is P-6m2 (187). The calculation puts the volume at 15.328 Å³ per atom. The density of states at the Fermi level is 2.737 states/eV per cell. For the relative energy among the computed polymorphs, the calculation gives 0.174 eV per atom. For the total magnetization, the calculation gives 0.0000 μB/atom.

Geometry as POSCAR:
```
MoPtRh
1.0
4.394 0.000 0.000
-2.197 3.805 0.000
0.000 0.000 2.750
Mo Pt Rh
1 1 1
Direct
0.000 0.000 0.000 Mo
0.333 0.667 0.500 Pt
0.667 0.333 0.000 Rh
```